Entry 1:
# TmCu3O4

An optimized crystal structure of TmCu3O4 (GGA-PBE, Alexandria).

a b c (Å): 5.6063 5.6063 5.6063
angles (deg): 90.00 90.00 90.00
Space group Pm-3n (No. 223)
Symmetry-distinct sites (fractional):
Tm  0.0000  0.0000  0.0000
Cu  0.0000  0.2500  0.5000
O  0.2500  0.2500  0.2500

Results
- V (Å³ per atom) = 11.01
- electronic total energy (eV/atom) = -6.017

***

Entry 2:
# DyAlGa4Pd2

An optimized crystal structure of DyAlGa4Pd2 (GGA-PBE, Alexandria).

a b c (Å): 4.4110 4.4110 25.1659
angles (deg): 90.00 90.00 120.00
Space group R-3m (No. 166, hexagonal axes)
Symmetry-distinct sites (fractional):
Dy  0.0000  0.0000  0.0000
Al  0.0000  0.0000  0.5000
Ga  0.0000  0.0000  0.1246
Ga  0.0000  0.0000  0.3936
Pd  0.0000  0.0000  0.2402

Results
- V (Å³ per atom) = 17.67
- electronic total energy (eV/atom) = -4.317

***

Entry 3:
# Cs2PmRhO4

An optimized crystal structure of Cs2PmRhO4 (GGA-PBE, Alexandria).

a b c (Å): 6.0645 13.9859 24.3480
angles (deg): 90.00 90.00 90.00
Space group Fddd (No. 70, origin choice 2)
Symmetry-distinct sites (fractional):
Cs  0.1250  0.1250  0.3162
Pm  0.1250  0.1250  0.1250
Rh  0.1250  0.1250  0.6250
O  0.0997  0.2754  0.8541

Results
- V (Å³ per atom) = 32.27
- electronic total energy (eV/atom) = -5.604

***

Entry 4:
# PrNpIr2

An optimized crystal structure of PrNpIr2 (GGA-PBE, Alexandria).

a b c (Å): 6.9866 6.9866 6.9866
angles (deg): 90.00 90.00 90.00
Space group Fm-3m (No. 225)
Symmetry-distinct sites (fractional):
Pr  0.0000  0.0000  0.0000
Np  0.0000  0.0000  0.5000
Ir  0.2500  0.2500  0.2500

Results
- V (Å³ per atom) = 21.31
- ΔE to the lowest computed polymorph (eV per atom) = 0.1484
- electronic total energy (eV/atom) = -9.164

***

Entry 5:
# KTlS2

An optimized crystal structure of KTlS2 (GGA-PBE, Alexandria).

a b c (Å): 4.6528 5.9479 5.9542
angles (deg): 94.19 112.93 112.80
Space group P1 (No. 1)
Symmetry-distinct sites (fractional):
K  0.0000  0.0000  0.0000
Tl  0.0012  0.5606  0.4395
S  0.3430  0.6103  0.0704
S  0.6587  0.9300  0.3899

Results
- V (Å³ per atom) = 33.73
- ΔE to the lowest computed polymorph (eV per atom) = 0.0571
- electronic total energy (eV/atom) = -3.503

***

Entry 6:
# NbHg2SbP

An optimized crystal structure of NbHg2SbP (GGA-PBE, Alexandria).

a b c (Å): 5.4809 5.4809 4.7030
angles (deg): 90.00 90.00 90.00
Space group P4/mmm (No. 123)
Symmetry-distinct sites (fractional):
Nb  0.0000  0.0000  0.0000
Hg  0.0000  0.5000  0.0000
Sb  0.5000  0.5000  0.5000
P  0.0000  0.0000  0.5000

Results
- V (Å³ per atom) = 28.26
- electronic total energy (eV/atom) = -3.398

***

Entry 7:
# RbTlAg2Pt

An optimized crystal structure of RbTlAg2Pt (GGA-PBE, Alexandria).

a b c (Å): 5.3984 5.3984 5.2285
angles (deg): 90.00 90.00 90.00
Space group P4/mmm (No. 123)
Symmetry-distinct sites (fractional):
Rb  0.0000  0.0000  0.0000
Tl  0.5000  0.5000  0.0000
Ag  0.0000  0.5000  0.5000
Pt  0.5000  0.5000  0.5000

Results
- V (Å³ per atom) = 30.47
- electronic total energy (eV/atom) = -2.980

***

Entry 8:
# Rb3ZrU3Se8

An optimized crystal structure of Rb3ZrU3Se8 (GGA-PBE, Alexandria).

a b c (Å): 8.2252 8.2252 24.7839
angles (deg): 90.00 90.00 120.00
Space group R-3m (No. 166, hexagonal axes)
Symmetry-distinct sites (fractional):
Rb  0.0000  0.5000  0.0000
Zr  0.0000  0.0000  0.5000
U  0.0000  0.5000  0.5000
Se  0.0000  0.0000  0.2336
Se  0.0112  0.5056  0.2306

Results
- V (Å³ per atom) = 32.27
- electronic total energy (eV/atom) = -6.143

***

Entry 9:
# Pm2Pr6Y3Tm

An optimized crystal structure of Pm2Pr6Y3Tm (GGA-PBE, Alexandria).

a b c (Å): 6.3412 10.9856 11.9915
angles (deg): 90.00 100.13 90.00
Space group C2/m (No. 12)
Symmetry-distinct sites (fractional):
Pm  0.0000  0.1668  0.0000
Pr  0.2487  0.5000  0.7490
Pr  0.2503  0.1661  0.7494
Y  0.0000  0.0000  0.5000
Y  0.0000  0.3335  0.5000
Tm  0.0000  0.5000  0.0000

Results
- V (Å³ per atom) = 34.26
- electronic total energy (eV/atom) = -5.160

***

Entry 10:
# Hf6Bi3P

An optimized crystal structure of Hf6Bi3P (GGA-PBE, Alexandria).

a b c (Å): 6.5010 8.2535 10.9618
angles (deg): 90.00 126.35 90.00
Space group P2_1/c (No. 14)
Symmetry-distinct sites (fractional):
Hf  0.0059  0.1036  0.2302
Hf  0.2053  0.7229  0.0785
Hf  0.3848  0.1424  0.0361
Bi  0.2942  0.1162  0.7198
Bi  0.5000  0.0000  0.5000
P  0.0000  0.0000  0.0000

Results
- V (Å³ per atom) = 23.69
- electronic total energy (eV/atom) = -7.863

***

Entry 11:
# Ca2Cu2Re

An optimized crystal structure of Ca2Cu2Re (GGA-PBE, Alexandria).

a b c (Å): 6.6326 6.6326 4.5704
angles (deg): 90.00 90.00 90.00
Space group P4/mbm (No. 127)
Symmetry-distinct sites (fractional):
Ca  0.1823  0.3177  0.0000
Cu  0.1325  0.6325  0.5000
Re  0.0000  0.0000  0.5000

Results
- V (Å³ per atom) = 20.11
- electronic total energy (eV/atom) = -4.541

***

Entry 12:
# Ag2W2Cl

An optimized crystal structure of Ag2W2Cl (GGA-PBE, Alexandria).

a b c (Å): 5.0364 5.0364 5.1513
angles (deg): 90.00 90.00 90.00
Space group P4/mmm (No. 123)
Symmetry-distinct sites (fractional):
Ag  0.0000  0.0000  0.0000
Ag  0.0000  0.0000  0.5000
W  0.0000  0.5000  0.0000
Cl  0.5000  0.5000  0.5000

Results
- V (Å³ per atom) = 26.13
- electronic total energy (eV/atom) = -4.306

***

Which value of V does entry 10 give? 23.69 Å³ per atom